Compound: CePrCu4
Source: the Alexandria database
Functional: PBE
Structure: optimized geometry Values from VASP.

Values from the calculation:
Energy above the most stable polymorph in this dataset, eV/f.u.: 0.00
Energy of formation from the pure elements, eV/f.u.: -0.80

```
&SYSTEM
  ibrav = 0, nat = 6, ntyp = 3
/
ATOMIC_SPECIES
Ce 140.12 Ce.upf
Pr 140.91 Pr.upf
Cu 63.55 Cu.upf
CELL_PARAMETERS angstrom
-1.974 1.974 7.778
1.974 -1.974 7.778
1.974 1.974 -7.778
ATOMIC_POSITIONS crystal
Ce 0.000 0.000 0.000
Pr 0.250 0.750 0.500
Cu 0.421 0.421 0.000
Cu 0.579 0.579 0.000
Cu 0.669 0.169 0.500
Cu 0.831 0.331 0.500
```

***

Compound: CePrCu2
Source: the Alexandria database
Functional: PBE
Structure: optimized geometry Values from VASP.

Values from the calculation:
Energy above the most stable polymorph in this dataset, eV/f.u.: 0.14
Energy of formation from the pure elements, eV/f.u.: -0.20

```
&SYSTEM
  ibrav = 0, nat = 4, ntyp = 3
/
ATOMIC_SPECIES
Ce 140.12 Ce.upf
Pr 140.91 Pr.upf
Cu 63.55 Cu.upf
CELL_PARAMETERS angstrom
0.000 3.576 3.576
3.576 0.000 3.576
3.576 3.576 0.000
ATOMIC_POSITIONS crystal
Ce 0.000 0.000 0.000
Pr 0.500 0.500 0.500
Cu 0.250 0.250 0.250
Cu 0.750 0.750 0.750
```

***

Compound: CePr2Cu
Source: the Alexandria database
Functional: PBE
Structure: optimized geometry Values from VASP.

Values from the calculation:
Energy above the most stable polymorph in this dataset, eV/f.u.: 0.53
Energy of formation from the pure elements, eV/f.u.: 0.55

```
&SYSTEM
  ibrav = 0, nat = 4, ntyp = 3
/
ATOMIC_SPECIES
Ce 140.12 Ce.upf
Pr 140.91 Pr.upf
Cu 63.55 Cu.upf
CELL_PARAMETERS angstrom
1.835 1.059 10.218
-1.835 1.059 10.218
0.000 -2.119 10.218
ATOMIC_POSITIONS crystal
Ce 0.000 0.000 0.000
Pr 0.235 0.235 0.235
Pr 0.430 0.430 0.430
Cu 0.833 0.833 0.833
```